Entry 1:
Here is a relaxed TbCdIr crystal from OQMD. Energies are from GGA-PBE.

Values from the calculation:
ΔE_f: -0.42 eV per atom
Space-group type: F-43m
Mass density: 10.65 g/cm3

Cell lengths 4.6752, 4.6752, 4.6752 Å; angles 60.00, 60.00, 60.00 degrees
Closest atoms and distances in Å follow each position.
Sites, in units of the cell vectors:
Tb 0.0000 0.0000 0.0000  4 Ir 2.86
Cd 0.5000 0.5000 0.5000  4 Ir 2.86
Ir 0.2500 0.2500 0.2500  4 Cd 2.86, 4 Tb 2.86

=====

Entry 2:
Here is a relaxed Cd2TcIr crystal from OQMD. Energies are from GGA-PBE.

Values from the calculation:
ΔE_f: 0.42 eV per atom
Space-group type: F-43m
Mass density: 12.44 g/cm3

Cell lengths 4.5982, 4.5982, 4.5982 Å; angles 60.00, 60.00, 60.00 degrees
Closest atoms and distances in Å follow each position.
Sites, in units of the cell vectors:
Cd 0.0000 0.0000 0.0000  4 Ir 2.82, 4 Cd 2.82
Cd 0.2500 0.2500 0.2500  4 Cd 2.82, 4 Tc 2.82
Tc 0.5000 0.5000 0.5000  4 Cd 2.82, 4 Ir 2.82
Ir 0.7500 0.7500 0.7500  4 Cd 2.82, 4 Tc 2.82

=====

Entry 3:
Here is a relaxed CdTcIr crystal from OQMD. Energies are from GGA-PBE.

Values from the calculation:
ΔE_f: 0.48 eV per atom
Space-group type: F-43m
Mass density: 11.88 g/cm3

Cell lengths 4.3016, 4.3016, 4.3016 Å; angles 60.00, 60.00, 60.00 degrees
Closest atoms and distances in Å follow each position.
Sites, in units of the cell vectors:
Cd 0.0000 0.0000 0.0000  4 Ir 2.63
Tc 0.5000 0.5000 0.5000  4 Ir 2.63
Ir 0.2500 0.2500 0.2500  4 Cd 2.63, 4 Tc 2.63

=====

Entry 4:
Here is a relaxed CdTeIr2 crystal from OQMD. Energies are from GGA-PBE.

Values from the calculation:
Space-group type: F-43m
Mass density: 14.25 g/cm3

Cell lengths 4.6866, 4.6866, 4.6866 Å; angles 60.00, 60.00, 60.00 degrees
Closest atoms and distances in Å follow each position.
Sites, in units of the cell vectors:
Cd 0.0000 0.0000 0.0000  4 Te 2.87, 4 Ir 2.87
Te 0.7500 0.7500 0.7500  4 Cd 2.87, 4 Ir 2.87
Ir 0.2500 0.2500 0.2500  4 Cd 2.87, 4 Ir 2.87
Ir 0.5000 0.5000 0.5000  4 Te 2.87, 4 Ir 2.87

=====

Entry 5:
Here is a relaxed Cd2TeIr crystal from OQMD. Energies are from GGA-PBE.

Values from the calculation:
Space-group type: F-43m
Mass density: 11.12 g/cm3

Cell lengths 4.8636, 4.8636, 4.8636 Å; angles 60.00, 60.00, 60.00 degrees
Closest atoms and distances in Å follow each position.
Sites, in units of the cell vectors:
Cd 0.0000 0.0000 0.0000  4 Ir 2.98, 4 Cd 2.98
Cd 0.2500 0.2500 0.2500  4 Cd 2.98, 4 Te 2.98
Te 0.5000 0.5000 0.5000  4 Ir 2.98, 4 Cd 2.98
Ir 0.7500 0.7500 0.7500  4 Cd 2.98, 4 Te 2.98

=====

Entry 6:
Here is a relaxed CdTe4Ir2 crystal from OQMD. Energies are from GGA-PBE.

Values from the calculation:
Space-group type: I4_1/amd
Mass density: 8.71 g/cm3

Cell lengths 8.1586, 8.1586, 8.1586 Å; angles 119.97, 119.97, 90.06 degrees
Closest atoms and distances in Å follow each position.
Sites, in units of the cell vectors:
Cd 0.3750 0.6250 0.7500  4 Te 2.87
Cd 0.6250 0.3750 0.2500  4 Te 2.87
Te 0.1943 0.2316 0.9627  3 Ir 2.69, 1 Cd 2.87
Te 0.2311 0.7684 0.4627  3 Ir 2.69, 1 Cd 2.87
Te 0.2316 0.1943 0.4627  3 Ir 2.69, 1 Cd 2.87
Te 0.2316 0.7689 0.0373  3 Ir 2.69, 1 Cd 2.87
Te 0.7684 0.2311 0.9627  3 Ir 2.69, 1 Cd 2.87
Te 0.7684 0.8057 0.5373  3 Ir 2.69, 1 Cd 2.87
Te 0.7689 0.2316 0.5373  3 Ir 2.69, 1 Cd 2.87
Te 0.8057 0.7684 0.0373  3 Ir 2.69, 1 Cd 2.87
Ir 0.0000 0.0000 0.0000  6 Te 2.69
Ir 0.0000 0.0000 0.5000  6 Te 2.69
Ir 0.0000 0.5000 0.0000  6 Te 2.69
Ir 0.5000 0.0000 0.5000  6 Te 2.69

=====

Entry 7:
Here is a relaxed TlCd2Ir crystal from OQMD. Energies are from GGA-PBE.

Values from the calculation:
Space-group type: F-43m
Mass density: 13.09 g/cm3

Cell lengths 4.8129, 4.8129, 4.8129 Å; angles 60.00, 60.00, 60.00 degrees
Closest atoms and distances in Å follow each position.
Sites, in units of the cell vectors:
Tl 0.0000 0.0000 0.0000  4 Cd 2.95, 4 Ir 2.95
Cd 0.5000 0.5000 0.5000  4 Cd 2.95, 4 Ir 2.95
Cd 0.7500 0.7500 0.7500  4 Cd 2.95, 4 Tl 2.95
Ir 0.2500 0.2500 0.2500  4 Cd 2.95, 4 Tl 2.95

=====

Entry 8:
Here is a relaxed Tl2CdIr crystal from OQMD. Energies are from GGA-PBE.

Values from the calculation:
Space-group type: F-43m
Mass density: 13.40 g/cm3

Cell lengths 4.9999, 4.9999, 4.9999 Å; angles 60.00, 60.00, 60.00 degrees
Closest atoms and distances in Å follow each position.
Sites, in units of the cell vectors:
Tl 0.0000 0.0000 0.0000  4 Ir 3.06, 4 Tl 3.06
Tl 0.2500 0.2500 0.2500  4 Cd 3.06, 4 Tl 3.06
Cd 0.5000 0.5000 0.5000  4 Ir 3.06, 4 Tl 3.06
Ir 0.7500 0.7500 0.7500  4 Tl 3.06, 4 Cd 3.06

=====

Entry 9:
Here is a relaxed TlCdIr crystal from OQMD. Energies are from GGA-PBE.

Values from the calculation:
Space-group type: F-43m
Mass density: 12.49 g/cm3

Cell lengths 4.5736, 4.5736, 4.5736 Å; angles 60.00, 60.00, 60.00 degrees
Closest atoms and distances in Å follow each position.
Sites, in units of the cell vectors:
Tl 0.0000 0.0000 0.0000  4 Cd 2.80, 4 Ir 2.80
Cd 0.7500 0.7500 0.7500  4 Tl 2.80
Ir 0.2500 0.2500 0.2500  4 Tl 2.80

=====

Entry 10:
Here is a relaxed TlCdIr2 crystal from OQMD. Energies are from GGA-PBE.

Values from the calculation:
Space-group type: F-43m
Mass density: 16.27 g/cm3

Cell lengths 4.6601, 4.6601, 4.6601 Å; angles 60.00, 60.00, 60.00 degrees
Closest atoms and distances in Å follow each position.
Sites, in units of the cell vectors:
Tl 0.0000 0.0000 0.0000  4 Cd 2.85, 4 Ir 2.85
Cd 0.2500 0.2500 0.2500  4 Tl 2.85, 4 Ir 2.85
Ir 0.5000 0.5000 0.5000  4 Ir 2.85, 4 Cd 2.85
Ir 0.7500 0.7500 0.7500  4 Ir 2.85, 4 Tl 2.85

=====

Entry 11:
Here is a relaxed Tm2CdIr crystal from OQMD. Energies are from GGA-PBE.

Values from the calculation:
ΔE_f: -0.66 eV per atom
Space-group type: P4/mmm
Mass density: 12.01 g/cm3

Cell lengths 3.4550, 3.4550, 7.4446 Å; angles 90.00, 90.00, 90.00 degrees
Closest atoms and distances in Å follow each position.
Sites, in units of the cell vectors:
Tm 0.0000 0.0000 0.2179  4 Ir 2.93, 4 Cd 3.22, 1 Tm 3.24
Tm 0.0000 0.0000 0.7821  4 Ir 2.93, 4 Cd 3.22, 1 Tm 3.24
Cd 0.5000 0.5000 0.5000  8 Tm 3.22, 4 Cd 3.46
Ir 0.5000 0.5000 0.0000  8 Tm 2.93

=====

Entry 12:
Here is a relaxed CdIrW2 crystal from OQMD. Energies are from GGA-PBE.

Values from the calculation:
ΔE_f: 0.46 eV per atom
Space-group type: F-43m
Mass density: 16.94 g/cm3

Cell lengths 4.5336, 4.5336, 4.5336 Å; angles 60.00, 60.00, 60.00 degrees
Closest atoms and distances in Å follow each position.
Sites, in units of the cell vectors:
Cd 0.0000 0.0000 0.0000  4 W 2.78, 4 Ir 2.78
Ir 0.2500 0.2500 0.2500  4 W 2.78, 4 Cd 2.78
W 0.5000 0.5000 0.5000  4 W 2.78, 4 Ir 2.78
W 0.7500 0.7500 0.7500  4 W 2.78, 4 Cd 2.78

=====

Entry 13:
Here is a relaxed CdIrW crystal from OQMD. Energies are from GGA-PBE.

Values from the calculation:
ΔE_f: 0.49 eV per atom
Space-group type: F-43m
Mass density: 14.03 g/cm3

Cell lengths 4.3405, 4.3405, 4.3405 Å; angles 60.00, 60.00, 60.00 degrees
Closest atoms and distances in Å follow each position.
Sites, in units of the cell vectors:
Cd 0.0000 0.0000 0.0000  4 Ir 2.66
Ir 0.2500 0.2500 0.2500  4 W 2.66, 4 Cd 2.66
W 0.5000 0.5000 0.5000  4 Ir 2.66

=====

Entry 14:
Here is a relaxed CdIrW crystal from OQMD. Energies are from GGA-PBE.

Values from the calculation:
ΔE_f: 0.82 eV per atom
Space-group type: F-43m
Mass density: 13.87 g/cm3

Cell lengths 4.3573, 4.3573, 4.3573 Å; angles 60.00, 60.00, 60.00 degrees
Closest atoms and distances in Å follow each position.
Sites, in units of the cell vectors:
Cd 0.0000 0.0000 0.0000  4 W 2.67
Ir 0.5000 0.5000 0.5000  4 W 2.67
W 0.2500 0.2500 0.2500  4 Cd 2.67, 4 Ir 2.67

=====

Entry 15:
Here is a relaxed YCd2Ir crystal from OQMD. Energies are from GGA-PBE.

Values from the calculation:
ΔE_f: -0.26 eV per atom
Space-group type: F-43m
Mass density: 10.28 g/cm3

Cell lengths 4.8715, 4.8715, 4.8715 Å; angles 60.00, 60.00, 60.00 degrees
Closest atoms and distances in Å follow each position.
Sites, in units of the cell vectors:
Y 0.0000 0.0000 0.0000  4 Cd 2.98, 4 Ir 2.98
Cd 0.2500 0.2500 0.2500  4 Cd 2.98, 4 Y 2.98
Cd 0.5000 0.5000 0.5000  4 Cd 2.98, 4 Ir 2.98
Ir 0.7500 0.7500 0.7500  4 Cd 2.98, 4 Y 2.98

=====

Entry 16:
Here is a relaxed Y2CdIr crystal from OQMD. Energies are from GGA-PBE.

Values from the calculation:
ΔE_f: -0.29 eV per atom
Space-group type: F-43m
Mass density: 9.46 g/cm3

Cell lengths 4.9287, 4.9287, 4.9287 Å; angles 60.00, 60.00, 60.00 degrees
Closest atoms and distances in Å follow each position.
Sites, in units of the cell vectors:
Y 0.0000 0.0000 0.0000  4 Ir 3.02, 4 Y 3.02
Y 0.2500 0.2500 0.2500  4 Cd 3.02, 4 Y 3.02
Cd 0.5000 0.5000 0.5000  4 Ir 3.02, 4 Y 3.02
Ir 0.7500 0.7500 0.7500  4 Cd 3.02, 4 Y 3.02

=====

Entry 17:
Here is a relaxed ZrCdIr crystal from OQMD. Energies are from GGA-PBE.

Values from the calculation:
ΔE_f: 0.17 eV per atom
Space-group type: F-43m
Mass density: 9.87 g/cm3

Cell lengths 4.5495, 4.5495, 4.5495 Å; angles 60.00, 60.00, 60.00 degrees
Closest atoms and distances in Å follow each position.
Sites, in units of the cell vectors:
Zr 0.0000 0.0000 0.0000  4 Cd 2.79, 4 Ir 2.79
Cd 0.7500 0.7500 0.7500  4 Zr 2.79
Ir 0.2500 0.2500 0.2500  4 Zr 2.79

=====

Entry 18:
Here is a relaxed Zr4CdIr crystal from OQMD. Energies are from GGA-PBE.

Values from the calculation:
ΔE_f: -0.35 eV per atom
Space-group type: P4/mmm
Mass density: 8.75 g/cm3

Cell lengths 3.3279, 3.3279, 11.4757 Å; angles 90.00, 90.00, 90.00 degrees
Closest atoms and distances in Å follow each position.
Sites, in units of the cell vectors:
Zr 0.0000 0.0000 0.1425  4 Ir 2.87, 4 Zr 3.13
Zr 0.0000 0.0000 0.8575  4 Ir 2.87, 4 Zr 3.13
Zr 0.5000 0.5000 0.3221  4 Cd 3.12, 8 Zr 3.13-3.33
Zr 0.5000 0.5000 0.6779  4 Cd 3.12, 8 Zr 3.13-3.33
Cd 0.0000 0.0000 0.5000  8 Zr 3.12, 4 Cd 3.33
Ir 0.5000 0.5000 0.0000  8 Zr 2.87

=====

Entry 19:
Here is a relaxed ZrCd2Ir crystal from OQMD. Energies are from GGA-PBE.

Values from the calculation:
ΔE_f: -0.21 eV per atom
Space-group type: F-43m
Mass density: 11.24 g/cm3

Cell lengths 4.7357, 4.7357, 4.7357 Å; angles 60.00, 60.00, 60.00 degrees
Closest atoms and distances in Å follow each position.
Sites, in units of the cell vectors:
Zr 0.0000 0.0000 0.0000  4 Cd 2.90, 4 Ir 2.90
Cd 0.5000 0.5000 0.5000  4 Cd 2.90, 4 Ir 2.90
Cd 0.7500 0.7500 0.7500  4 Cd 2.90, 4 Zr 2.90
Ir 0.2500 0.2500 0.2500  4 Cd 2.90, 4 Zr 2.90

=====

Entry 20:
Here is a relaxed KCd14 crystal from OQMD. Energies are from GGA-PBE.

Values from the calculation:
Space-group type: R-3m
Mass density: 7.30 g/cm3

Cell lengths 7.2958, 7.2958, 7.2958 Å; angles 78.20, 78.20, 78.20 degrees
Closest atoms and distances in Å follow each position.
Sites, in units of the cell vectors:
K 0.0000 0.0000 0.0000  2 Cd 3.06
Cd 0.1610 0.5000 0.8390  9 Cd 2.89-3.21
Cd 0.1610 0.8390 0.5000  9 Cd 2.89-3.21
Cd 0.2039 0.2039 0.2039  9 Cd 2.85-3.09, 1 K 3.06
Cd 0.2335 0.2335 0.5793  5 Cd 2.85-3.18
Cd 0.2335 0.5793 0.2335  5 Cd 2.85-3.18
Cd 0.4207 0.7665 0.7665  5 Cd 2.85-3.18
Cd 0.5000 0.1610 0.8390  9 Cd 2.89-3.21
Cd 0.5000 0.8390 0.1610  9 Cd 2.89-3.21
Cd 0.5793 0.2335 0.2335  5 Cd 2.85-3.18
Cd 0.7665 0.4207 0.7665  5 Cd 2.85-3.18
Cd 0.7665 0.7665 0.4207  5 Cd 2.85-3.18
Cd 0.7961 0.7961 0.7961  9 Cd 2.85-3.09, 1 K 3.06
Cd 0.8390 0.1610 0.5000  9 Cd 2.89-3.21
Cd 0.8390 0.5000 0.1610  9 Cd 2.89-3.21

=====

For each record above, in turn, the calculated calculated total energy values are -5.21, -4.83, -6.22, -4.80, -3.08, -4.74, -2.91, -3.14, -3.36, -4.64, -5.34, -8.46, -7.08, -6.75, -4.54, -5.96, -5.93, -7.68, -5.01, -0.89 eV per atom.